[1]
# TaCoP, optimized geometry, DFT GGA-PBE
# Density, g cm⁻³: 11.8
data_TaCoP
_cell_length_a 6.1042
_cell_length_b 3.5914
_cell_length_c 6.9459
_cell_angle_alpha 90.00
_cell_angle_beta 90.00
_cell_angle_gamma 90.00
_symmetry_space_group_name_H-M 'P n m a'
_symmetry_Int_Tables_number 62
loop_
_symmetry_equiv_pos_as_xyz
'x,y,z'
'-x,-y,-z'
'-x+1/2,-y,z+1/2'
'x+1/2,y,-z+1/2'
'x+1/2,-y+1/2,-z+1/2'
'-x+1/2,y+1/2,z+1/2'
'-x,y+1/2,-z'
'x,-y+1/2,z'
loop_
_atom_site_label
_atom_site_type_symbol
_atom_site_fract_x
_atom_site_fract_y
_atom_site_fract_z
Ta1 Ta 0.0254 0.2500 0.1722
Co1 Co 0.1481 0.2500 0.5633
P1 P 0.2214 0.7500 0.3789

[2]
# Tb2Co3P5, optimized geometry, DFT GGA-PBE
# Density, g cm⁻³: 7.5
data_Tb2Co3P5
_cell_length_a 10.8784
_cell_length_b 10.7231
_cell_length_c 5.8026
_cell_angle_alpha 90.00
_cell_angle_beta 122.08
_cell_angle_gamma 90.00
_symmetry_space_group_name_H-M 'C 1 2/c 1'
_symmetry_Int_Tables_number 15
loop_
_symmetry_equiv_pos_as_xyz
'x,y,z'
'-x,-y,-z'
'-x,y,-z+1/2'
'x,-y,z+1/2'
'x+1/2,y+1/2,z'
'-x+1/2,-y+1/2,-z'
'-x+1/2,y+1/2,-z+1/2'
'x+1/2,-y+1/2,z+1/2'
loop_
_atom_site_label
_atom_site_type_symbol
_atom_site_fract_x
_atom_site_fract_y
_atom_site_fract_z
Tb1 Tb 0.2282 0.1306 0.2285
Co1 Co 0.0000 0.4980 0.2500
Co2 Co 0.1062 0.1412 0.6078
P1 P 0.0000 0.0008 0.2500
P2 P 0.0000 0.2726 0.2500
P3 P 0.0000 0.2749 0.7500
P4 P 0.1545 0.3954 0.1529

[3]
# TbCo3P2, optimized geometry, DFT GGA-PBE
# Density, g cm⁻³: 8.4
data_TbCo3P2
_cell_length_a 3.6948
_cell_length_b 10.5045
_cell_length_c 12.1750
_cell_angle_alpha 90.00
_cell_angle_beta 90.00
_cell_angle_gamma 90.00
_symmetry_space_group_name_H-M 'P m m n'
_symmetry_Int_Tables_number 59
loop_
_symmetry_equiv_pos_as_xyz
'x,y,z'
'-x,-y,-z'
'-x+1/2,-y+1/2,z'
'x+1/2,y+1/2,-z'
'x+1/2,-y,-z'
'-x+1/2,y,z'
'-x,y+1/2,-z'
'x,-y+1/2,z'
loop_
_atom_site_label
_atom_site_type_symbol
_atom_site_fract_x
_atom_site_fract_y
_atom_site_fract_z
Tb1 Tb 0.2500 0.0667 0.2057
Tb2 Tb 0.2500 0.2500 0.4777
Co1 Co 0.2500 0.1298 0.7097
Co2 Co 0.2500 0.2500 0.0141
Co3 Co 0.2500 0.5473 0.4305
Co4 Co 0.2500 0.5834 0.9949
Co5 Co 0.2500 0.7500 0.1591
Co6 Co 0.2500 0.7500 0.7034
P1 P 0.2500 0.0980 0.8935
P2 P 0.2500 0.5600 0.6159
P3 P 0.2500 0.7500 0.3436
P4 P 0.2500 0.7500 0.8829

[4]
# CoTcP2, optimized geometry, DFT GGA-PBE
# Density, g cm⁻³: 7.2
data_CoTcP2
_cell_length_a 3.1170
_cell_length_b 5.3898
_cell_length_c 6.0214
_cell_angle_alpha 90.00
_cell_angle_beta 90.00
_cell_angle_gamma 90.00
_symmetry_space_group_name_H-M 'P m n 21'
_symmetry_Int_Tables_number 31
loop_
_symmetry_equiv_pos_as_xyz
'x,y,z'
'-x+1/2,-y,z+1/2'
'-x,y,z'
'x+1/2,-y,z+1/2'
loop_
_atom_site_label
_atom_site_type_symbol
_atom_site_fract_x
_atom_site_fract_y
_atom_site_fract_z
Co1 Co 0.0000 0.2501 0.0000
Tc1 Tc 0.0000 0.7453 0.0943
P1 P 0.0000 0.0515 0.3601
P2 P 0.0000 0.5720 0.7217

[5]
# ThCo2P2, optimized geometry, DFT GGA-PBE
# Density, g cm⁻³: 9.3
data_ThCo2P2
_cell_length_a 4.0218
_cell_length_b 4.0218
_cell_length_c 9.1024
_cell_angle_alpha 90.00
_cell_angle_beta 90.00
_cell_angle_gamma 90.00
_symmetry_space_group_name_H-M 'P 4/n m m'
_symmetry_Int_Tables_number 129
loop_
_symmetry_equiv_pos_as_xyz
'x,y,z'
'-x,-y,-z'
'-y+1/2,x,z'
'y+1/2,-x,-z'
'-x+1/2,-y+1/2,z'
'x+1/2,y+1/2,-z'
'y,-x+1/2,z'
'-y,x+1/2,-z'
'x+1/2,-y,-z'
'-x+1/2,y,z'
'-y,-x,-z'
'y,x,z'
'-x,y+1/2,-z'
'x,-y+1/2,z'
'y+1/2,x+1/2,-z'
'-y+1/2,-x+1/2,z'
loop_
_atom_site_label
_atom_site_type_symbol
_atom_site_fract_x
_atom_site_fract_y
_atom_site_fract_z
Th1 Th 0.2500 0.2500 0.2504
Co1 Co 0.2500 0.2500 0.6106
Co2 Co 0.2500 0.7500 0.0000
P1 P 0.2500 0.2500 0.8689
P2 P 0.2500 0.7500 0.5000

[6]
# TlCo6P4, optimized geometry, DFT GGA-PBE
# Density, g cm⁻³: 8.7
data_TlCo6P4
_cell_length_a 6.6780
_cell_length_b 6.6780
_cell_length_c 3.3728
_cell_angle_alpha 90.00
_cell_angle_beta 90.00
_cell_angle_gamma 120.00
_symmetry_space_group_name_H-M 'P -6 m 2'
_symmetry_Int_Tables_number 187
_symmetry_space_group_name_Hall 'P -6 2'
loop_
_atom_site_label
_atom_site_type_symbol
_atom_site_fract_x
_atom_site_fract_y
_atom_site_fract_z
Tl1 Tl 0.0000 0.0000 0.0000
Co1 Co 0.0699 0.5349 0.0000
Co2 Co 0.3969 0.1984 0.5000
P1 P 0.1953 0.3906 0.5000
P2 P 0.6667 0.3333 0.0000

| no. | electronic total energy (eV/atom) |
| --- | --- |
| 1 | -8.95 |
| 2 | -6.62 |
| 3 | -7.06 |
| 4 | -7.66 |
| 5 | -7.55 |
| 6 | -6.41 |